Record 1
Material: Ta2FePb
Method: DFT, PBE
State: optimized geometry

- DOS at the Fermi energy: 3.735 states/eV/cell
- ΔH_f (0 K): 360 meV/atom
- Symmetry: I4/mmm (139)

```
Ta2FePb
1.0
-2.015 2.015 4.388
2.015 -2.015 4.388
2.015 2.015 -4.388
Ta Fe Pb
2 1 1
Cartesian
2.015 0.000 2.194
0.000 2.015 2.194
0.000 0.000 0.000
0.000 0.000 4.388
```


Record 2
Material: TaFe2Pb
Method: DFT, PBE
State: optimized geometry

- DOS at the Fermi energy: 4.300 states/eV/cell
- ΔH_f (0 K): 241 meV/atom
- Symmetry: P4/mmm (123)

```
TaFe2Pb
1.0
3.264 0.000 0.000
0.000 3.264 0.000
0.000 0.000 6.164
Ta Fe Pb
1 2 1
Cartesian
0.000 0.000 0.000
1.632 1.632 1.283
1.632 1.632 4.881
0.000 0.000 3.082
```


Record 3
Material: TaFe2Pb
Method: DFT, PBE
State: optimized geometry

- DOS at the Fermi energy: 3.630 states/eV/cell
- ΔH_f (0 K): 410 meV/atom
- Symmetry: Imm2 (44)

```
TaFe2Pb
1.0
-1.626 2.209 4.493
1.626 -2.209 4.493
1.626 2.209 -4.493
Ta Fe Pb
1 2 1
Cartesian
0.000 0.000 0.000
0.000 0.000 4.715
0.000 2.209 2.118
1.626 0.000 2.465
```


Record 4
Material: Ta2FePb
Method: DFT, PBE
State: optimized geometry

- DOS at the Fermi energy: 3.207 states/eV/cell
- ΔH_f (0 K): 300 meV/atom
- Symmetry: P4mm (99)

```
Ta2FePb
1.0
3.155 0.000 0.000
0.000 3.155 0.000
0.000 0.000 7.467
Ta Fe Pb
2 1 1
Cartesian
0.000 0.000 0.000
1.577 1.577 1.880
0.000 0.000 3.122
1.577 1.577 5.117
```


Record 5
Material: TaFePb2
Method: DFT, PBE
State: optimized geometry

- DOS at the Fermi energy: 3.369 states/eV/cell
- ΔH_f (0 K): 912 meV/atom
- Symmetry: F-43m (216)
- Energy relative to the lowest polymorph listed for this composition: 664 meV/atom

```
TaFePb2
1.0
0.000 3.517 3.517
3.517 0.000 3.517
3.517 3.517 0.000
Ta Fe Pb
1 1 2
Cartesian
0.000 0.000 0.000
5.275 5.275 5.275
1.758 1.758 1.758
3.517 3.517 3.517
```


Record 6
Material: TaFePb2
Method: DFT, PBE
State: optimized geometry

- DOS at the Fermi energy: 2.555 states/eV/cell
- ΔH_f (0 K): 248 meV/atom
- Symmetry: Pm (6)
- Energy relative to the lowest polymorph listed for this composition: 0 meV/atom

```
TaFePb2
1.0
3.242 0.000 0.000
0.000 3.230 0.000
-0.039 0.000 8.527
Ta Fe Pb
1 1 2
Cartesian
0.000 0.000 0.000
1.583 1.615 7.403
1.621 1.615 2.256
3.204 0.000 5.367
```


Record 7
Material: TaFe3Pb
Method: DFT, PBE
State: optimized geometry

- DOS at the Fermi energy: 10.150 states/eV/cell
- ΔH_f (0 K): 2271 meV/atom
- Symmetry: Pm-3m (221)
- Energy relative to the lowest polymorph listed for this composition: 972 meV/atom

```
TaFe3Pb
1.0
4.571 0.000 0.000
0.000 4.571 0.000
0.000 0.000 4.571
Ta Fe Pb
1 3 1
Cartesian
0.000 0.000 0.000
0.000 2.286 2.286
2.286 0.000 2.286
2.286 2.286 0.000
2.286 2.286 2.286
```


Record 8
Material: TaFe2Pb
Method: DFT, PBE
State: optimized geometry

- DOS at the Fermi energy: 3.703 states/eV/cell
- ΔH_f (0 K): 570 meV/atom
- Symmetry: F-43m (216)

```
TaFe2Pb
1.0
0.000 3.205 3.205
3.205 0.000 3.205
3.205 3.205 0.000
Ta Fe Pb
1 2 1
Cartesian
0.000 0.000 0.000
3.205 3.205 3.205
4.807 4.807 4.807
1.602 1.602 1.602
```


Record 9
Material: Ta2FePb
Method: DFT, PBE
State: optimized geometry

- DOS at the Fermi energy: 11.596 states/eV/cell
- ΔH_f (0 K): 953 meV/atom
- Symmetry: I-42d (122)

```
Ta2FePb
1.0
-1.951 1.951 10.008
1.951 -1.951 10.008
1.951 1.951 -10.008
Ta Fe Pb
4 2 2
Cartesian
2.926 0.962 -2.502
0.962 0.975 2.502
-0.975 0.989 7.506
0.989 0.975 12.510
0.000 0.000 0.000
0.000 1.951 5.004
1.951 0.000 5.004
0.000 0.000 10.008
```


Record 10
Material: Ta2VFePb
Method: DFT, PBE
State: optimized geometry

- DOS at the Fermi energy: 9.559 states/eV/cell
- ΔH_f (0 K): 1142 meV/atom
- Symmetry: P4/mmm (123)

```
Ta2VFePb
1.0
4.577 0.000 0.000
0.000 4.577 0.000
0.000 0.000 4.776
Ta V Fe Pb
2 1 1 1
Cartesian
0.000 2.288 0.000
2.288 0.000 0.000
0.000 0.000 2.388
2.288 2.288 0.000
2.288 2.288 2.388
```


Record 11
Material: Tb8FePb2
Method: DFT, PBE
State: optimized geometry

- DOS at the Fermi energy: 12.228 states/eV/cell
- ΔH_f (0 K): -163 meV/atom
- Symmetry: C2/m (12)

```
Tb8FePb2
1.0
9.010 -2.686 0.000
9.010 2.686 0.000
-2.172 0.000 6.419
Tb Fe Pb
8 1 2
Cartesian
-0.342 0.000 1.515
3.488 0.000 0.751
5.030 0.000 4.390
6.884 0.000 1.543
8.965 0.000 4.876
10.819 0.000 2.029
12.361 0.000 5.668
16.191 0.000 4.904
9.010 0.000 0.000
1.741 0.000 3.988
14.108 0.000 2.430
```


Record 12
Material: Tb3FePb
Method: DFT, PBE
State: optimized geometry

- DOS at the Fermi energy: 5.344 states/eV/cell
- ΔH_f (0 K): -109 meV/atom
- Symmetry: Pm-3m (221)

```
Tb3FePb
1.0
5.133 0.000 0.000
0.000 5.133 0.000
0.000 0.000 5.133
Tb Fe Pb
3 1 1
Cartesian
0.000 0.000 2.567
0.000 2.567 0.000
2.567 0.000 0.000
0.000 0.000 0.000
2.567 2.567 2.567
```


| no. | ρ (kg/m³) |
| --- | --- |
| 1 | 14557 |
| 2 | 12636 |
| 3 | 12855 |
| 4 | 13963 |
| 5 | 12433 |
| 6 | 12111 |
| 7 | 9659 |
| 8 | 12608 |
| 9 | 13625 |
| 10 | 11221 |
| 11 | 9308 |
| 12 | 9081 |